Record 1
Density functional theory data (GGA-PBE) for a relaxed Ta2RhW crystal.

formation energy = -0.04 eV/atom
crystal system = cubic
DFT total energy = -11.043 eV/atom

The structure in extended XYZ format:
```
4
Lattice="3.888 -2.347 0.135 0.827 -2.829 3.458 -0.034 -4.492 -0.682" Properties=species:S:1:pos:R:3 pbc="T T T"
Ta 0.000 0.000 0.000
Ta 3.511 -7.251 2.183
Rh 2.341 -4.834 1.455
W 1.170 -2.417 0.728
```

---

Record 2
Density functional theory data (GGA-PBE) for a relaxed Ta2RhW crystal.

formation energy = -0.15 eV/atom
crystal system = orthorhombic
DFT total energy = -11.150 eV/atom

The structure in extended XYZ format:
```
4
Lattice="4.788 1.744 1.467 0.115 3.955 3.531 -1.736 -4.944 -0.812" Properties=species:S:1:pos:R:3 pbc="T T T"
Ta 0.004 0.005 0.004
Ta 0.439 0.957 2.633
Rh 2.749 -0.178 1.575
W 2.426 2.820 2.473
```

---

Record 3
Density functional theory data (GGA-PBE) for a relaxed Ta2RhW crystal.

formation energy = -0.15 eV/atom
crystal system = monoclinic
DFT total energy = -11.155 eV/atom

The structure in extended XYZ format:
```
4
Lattice="4.465 2.819 -0.002 -4.465 2.819 -0.002 0.000 0.945 2.636" Properties=species:S:1:pos:R:3 pbc="T T T"
Ta 2.233 1.409 -0.001
Ta -2.233 1.409 -0.001
Rh 0.000 0.472 1.318
W 0.000 3.291 1.316
```